Material: PmC2
Method: DFT, PBE
State: optimized geometry

## Properties
The value obtained for the uncorrected energy is -5.8447 eV/atom. The value obtained for the total magnetic moment is 0.00 μB/f.u. As for the density: 7507 kg/m3. Its space-group type is Fd-3m (227).

The structure in POSCAR format:
```
PmC2
1.0
0.0000 3.3438 3.3438
3.3438 0.0000 3.3438
3.3438 3.3438 0.0000
C Pm
4 2
Cartesian
2.5078 4.1797 2.5078
4.1797 4.1797 4.1797
2.5078 2.5078 4.1797
4.1797 2.5078 2.5078
0.0000 0.0000 0.0000
1.6719 1.6719 1.6719
```

=====

Material: Li2Zn2In2PdAu
Method: DFT, PBE
State: optimized geometry

## Properties
The value obtained for the uncorrected energy is -2.9249 eV/atom. As for the density: 8461 kg/m3. Its space-group type is P-4m2 (115).

The structure in POSCAR format:
```
Li2Zn2In2PdAu
1.0
4.5367 0.0000 0.0000
0.0000 4.5367 0.0000
0.0000 0.0000 6.4624
Li Pd Au Zn In
2 1 1 2 2
Cartesian
0.0000 0.0000 3.2312
2.2683 2.2683 0.0000
2.2683 2.2683 3.2312
0.0000 0.0000 0.0000
0.0000 2.2683 4.7818
2.2683 0.0000 1.6806
2.2683 0.0000 4.7799
0.0000 2.2683 1.6826
```

=====

Material: Nb4Pb3W2N3
Method: DFT, PBE
State: optimized geometry

## Properties
The value obtained for the uncorrected energy is -8.5895 eV/atom. The value obtained for the total magnetic moment is 0.00 μB/f.u. As for the density: 11749 kg/m3. Its space-group type is C2/c (15).

The structure in POSCAR format:
```
Nb4Pb3W2N3
1.0
5.0551 -2.9297 0.0000
5.0551 2.9297 0.0000
-3.3074 0.0000 13.3888
Nb W N Pb
8 4 6 6
Cartesian
5.9095 0.4739 7.6988
7.6121 -0.5066 5.6879
-0.7605 0.4739 12.3843
-0.8093 0.5066 7.7009
7.5632 -0.4739 1.0045
0.8932 -0.4739 5.6899
0.8443 -0.5066 1.0066
5.9584 0.5066 12.3822
2.5847 0.4769 7.6156
4.2181 -0.4769 5.7732
4.2384 -0.4769 0.9212
2.5644 0.4769 12.4676
4.2299 1.4344 6.6892
2.5275 -1.4648 0.0000
2.5762 -1.4344 13.3836
4.2265 1.4344 0.0052
0.8738 1.4648 6.6944
2.5729 -1.4344 6.6996
5.8912 0.4760 3.3499
4.2282 -2.4155 3.3472
2.5745 2.4155 10.0416
4.2375 -0.4760 10.0443
0.9115 -0.4760 10.0389
2.5652 0.4760 3.3445
```

=====

Material: ZnFe2Pb
Method: DFT, PBE
State: optimized geometry

## Properties
The value obtained for the uncorrected energy is -4.9824 eV/atom. The value obtained for the total magnetic moment is 4.89 μB/f.u. As for the density: 9859 kg/m3. Its space-group type is Pm-3m (221).

The structure in POSCAR format:
```
ZnFe2Pb
1.0
6.3735 0.0000 0.0000
0.0000 6.3735 0.0000
0.0000 0.0000 6.3735
Pb Fe Zn
4 8 4
Cartesian
3.1868 0.0000 0.0000
0.0000 0.0000 3.1868
0.0000 0.0000 0.0000
0.0000 3.1868 0.0000
4.5496 4.5496 4.5496
4.5496 1.8239 1.8239
1.8239 4.5496 4.5496
1.8239 1.8239 4.5496
1.8239 4.5496 1.8239
4.5496 1.8239 4.5496
4.5496 4.5496 1.8239
1.8239 1.8239 1.8239
3.1868 3.1868 0.0000
0.0000 3.1868 3.1868
3.1868 3.1868 3.1868
3.1868 0.0000 3.1868
```

=====

Material: TaBeMoAs
Method: DFT, PBE
State: optimized geometry

## Properties
The value obtained for the uncorrected energy is -7.4922 eV/atom. The value obtained for the total magnetic moment is 0.01 μB/f.u. As for the density: 10138 kg/m3. Its space-group type is F-43m (216).

The structure in POSCAR format:
```
TaBeMoAs
1.0
0.0000 3.0916 3.0916
3.0916 0.0000 3.0916
3.0916 3.0916 0.0000
Mo As Ta Be
1 1 1 1
Cartesian
1.5458 1.5458 1.5458
0.0000 0.0000 0.0000
3.0916 3.0916 3.0916
4.6374 4.6374 4.6374
```

=====

Material: NaZr
Method: DFT, PBE
State: optimized geometry

## Properties
The value obtained for the uncorrected energy is -4.6779 eV/atom. The value obtained for the total magnetic moment is 0.01 μB/f.u. As for the density: 3658 kg/m3. Its space-group type is Pmmn (59).

The structure in POSCAR format:
```
NaZr
1.0
-2.0808 -9.8759 -7.0236
2.2257 0.9146 -1.9455
3.6723 -2.8191 2.8760
Zr Na
4 4
Cartesian
1.5745 -2.6511 0.5550
1.0391 -10.0170 -5.9815
-2.0782 -9.8636 -7.0148
-0.5330 -7.3546 -6.5284
0.5840 -2.0527 -2.7578
-1.0869 -5.1586 -3.6687
0.4576 -7.9524 -3.2152
2.1285 -4.8466 -2.3043
```

=====

Material: Te2W
Method: DFT, PBE
State: optimized geometry

## Properties
The value obtained for the uncorrected energy is -5.6904 eV/atom. The value obtained for the total magnetic moment is 0.00 μB/f.u. As for the density: 3646 kg/m3. Its space-group type is Fd-3m (227).

The structure in POSCAR format:
```
Te2W
1.0
4.1348 2.3872 6.7520
-4.1348 2.3872 6.7520
0.0000 -4.7744 6.7520
Te W
4 2
Cartesian
-2.0674 1.1936 10.9721
2.0674 1.1936 10.9721
0.0000 0.0000 7.5960
0.0000 -2.3872 10.9721
0.0000 0.0000 10.1281
0.0000 0.0000 5.0640
```

=====

Material: DyAgTeS
Method: DFT, PBE
State: optimized geometry

## Properties
The value obtained for the uncorrected energy is -4.7775 eV/atom. The value obtained for the total magnetic moment is 0.00 μB/f.u. As for the density: 6922 kg/m3. Its space-group type is P2_1 (4).

The structure in POSCAR format:
```
DyAgTeS
1.0
4.3914 0.0000 0.0000
0.0000 6.8543 0.0000
-0.2588 0.0000 6.8546
Dy S Te Ag
2 2 2 2
Cartesian
1.0519 0.0733 4.8443
3.0807 3.5005 2.0102
3.1880 1.3919 3.7695
0.9446 4.8191 3.0851
3.2553 5.4567 6.4842
0.8773 2.0296 0.3704
2.1558 6.7866 1.6929
1.9768 3.3594 5.1617
```

=====

Material: SmNpGe
Method: DFT, PBE
State: optimized geometry

## Properties
The value obtained for the uncorrected energy is -7.3711 eV/atom. The value obtained for the total magnetic moment is 5.78 μB/f.u. As for the density: 8889 kg/m3. Its space-group type is F-43m (216).

The structure in POSCAR format:
```
SmNpGe
1.0
0.0000 3.5025 3.5025
3.5025 0.0000 3.5025
3.5025 3.5025 0.0000
Np Sm Ge
1 1 1
Cartesian
1.7513 1.7513 1.7513
5.2537 5.2537 5.2537
0.0000 0.0000 0.0000
```

=====

Material: ScCuTeOs
Method: DFT, PBE
State: optimized geometry

## Properties
The value obtained for the uncorrected energy is -5.8326 eV/atom. The value obtained for the total magnetic moment is 0.00 μB/f.u. As for the density: 10109 kg/m3. Its space-group type is F-43m (216).

The structure in POSCAR format:
```
ScCuTeOs
1.0
0.0000 3.2715 3.2715
3.2715 0.0000 3.2715
3.2715 3.2715 0.0000
Te Cu Sc Os
1 1 1 1
Cartesian
3.2715 3.2715 3.2715
4.9073 4.9073 4.9073
1.6357 1.6357 1.6357
0.0000 0.0000 0.0000
```

=====

Material: PaGa2Pd2
Method: DFT, PBE
State: optimized geometry

## Properties
The value obtained for the uncorrected energy is -5.6994 eV/atom. The value obtained for the total magnetic moment is 0.04 μB/f.u. As for the density: 10262 kg/m3. Its space-group type is I4/mmm (139).

The structure in POSCAR format:
```
PaGa2Pd2
1.0
-2.0676 2.0676 5.5198
2.0676 -2.0676 5.5198
2.0676 2.0676 -5.5198
Pa Pd Ga
1 2 2
Cartesian
0.0000 0.0000 0.0000
0.0000 0.0000 4.2264
0.0000 0.0000 6.8132
2.0676 0.0000 2.7599
0.0000 2.0676 2.7599
```

=====

Material: HfAl2Zn
Method: DFT, PBE
State: optimized geometry

## Properties
The value obtained for the uncorrected energy is -4.6438 eV/atom. The value obtained for the total magnetic moment is 0.00 μB/f.u. As for the density: 7118 kg/m3. Its space-group type is F-43m (216).

The structure in POSCAR format:
```
HfAl2Zn
1.0
0.0000 3.2630 3.2630
3.2630 0.0000 3.2630
3.2630 3.2630 0.0000
Hf Zn Al
1 1 2
Cartesian
4.8945 4.8945 4.8945
3.2630 3.2630 3.2630
0.0000 0.0000 0.0000
1.6315 1.6315 1.6315
```

=====

The lowest uncorrected energy belongs to which entry?
Nb4Pb3W2N3

=====

What is the uncorrected energy in the twelfth record?
-4.6438 eV/atom

=====

Which of these has the lowest uncorrected energy?
Nb4Pb3W2N3

=====

The highest uncorrected energy belongs to which entry?
Li2Zn2In2PdAu